A plane-wave DFT calculation with GGA-PBE was carried out for crystalline NaGaP2S8 at its relaxed geometry.

Results
Formation energy without anion corrections = -0.196 eV/atom
ρ = 2.6 Mg/m³
E = -50.5 eV per formula unit

Lattice parameters (Å, degrees): 5.8859 5.8859 8.8581 90.00 90.00 120.00
Space group P-3 (No. 147)
Asymmetric unit:
Na (0.0000, 0.0000, 0.0000)
Ga (0.0000, 0.0000, 0.5000)
P (0.3333, 0.6667, 0.7346)
S (0.0054, 0.6719, 0.3250)
S (0.3333, 0.6667, 0.9649)